A relaxed structure of Tm3IrPt. Source: Alexandria via LeMat-Bulk, functional GGA-PBE.

Output
V: 240 Å³ per cell
ΔH_f (0 K): -932 meV per atom
relative energy among the computed polymorphs: 0.0 meV/atom
energy: -33.0 eV/f.u.
size of the total moment: 0.0 μB/f.u.

a b c (Å): 4.0818 6.8380 8.6015
angles (deg): 90.00 90.00 90.00
Closest atoms and distances in Å follow each position.
Fractional positions:
Tm 0.7500 0.7500 0.0585  2 Pt 2.78, 1 Ir 2.87
Tm 0.2500 0.2500 0.9415  2 Pt 2.78, 1 Ir 2.87
Tm 0.7500 0.9886 0.6669  3 Ir 2.76-2.87, 2 Pt 3.00
Tm 0.7500 0.5114 0.6669  3 Ir 2.76-2.87, 2 Pt 3.00
Tm 0.2500 0.0114 0.3331  3 Ir 2.76-2.87, 2 Pt 3.00
Tm 0.2500 0.4886 0.3331  3 Ir 2.76-2.87, 2 Pt 3.00
Ir 0.7500 0.7500 0.3918  7 Tm 2.76-2.87
Ir 0.2500 0.2500 0.6082  7 Tm 2.76-2.87
Pt 0.7500 0.2500 0.1610  6 Tm 2.78-3.00
Pt 0.2500 0.7500 0.8390  6 Tm 2.78-3.00